(1)
Material: Re2SiN
Method: DFT, PBE
State: relaxed

Cell: 4.0931 4.0931 4.0931 Å, 60.00 60.00 60.00°
Last column: nearest neighbours and their distance in Å.
Element x y z (fractional)
1 Re 0.7500 0.7500 0.7500  4 Si 2.51, 4 N 2.51
2 Si 0.5000 0.5000 0.5000  8 Re 2.51
3 Re 0.2500 0.2500 0.2500  4 Si 2.51, 4 N 2.51
4 N 0.0000 0.0000 0.0000  8 Re 2.51

Summary:
Total magnetization ... 0.0 Bohr magnetons per cell
ΔE to the lowest computed polymorph ... 0.180 eV per atom



(2)
Material: K2LiRh
Method: DFT, PBE
State: relaxed

Cell: 5.9899 5.9899 5.9899 Å, 133.92 133.92 67.22°
Last column: nearest neighbours and their distance in Å.
Element x y z (fractional)
1 Rh 0.7500 0.2500 0.5000  4 Li 3.32, 8 K 3.42
2 Li 0.2500 0.7500 0.5000  4 Rh 3.32, 8 K 3.42
3 K 0.0000 0.0000 0.0000  4 K 3.32, 4 Li 3.42, 4 Rh 3.42
4 K 0.5000 0.5000 0.0000  4 K 3.32, 4 Rh 3.42, 4 Li 3.42

Summary:
Total magnetization ... 0.1 Bohr magnetons per cell
DFT formation energy ... 0.5829 eV/atom



(3)
Material: MnBeMo
Method: DFT, PBE
State: relaxed

Cell: 4.6115 4.6115 11.5825 Å, 78.52 78.52 60.00°
Last column: nearest neighbours and their distance in Å.
Element x y z (fractional)
1 Mo 0.1812 0.1812 0.4564  3 Be 2.71, 9 Mn 2.71-2.76, 4 Mo 2.84-2.89
2 Mn 0.2777 0.7744 0.6701  4 Mn 2.29-2.32, 2 Be 2.33-2.36
3 Be 0.5000 0.0000 0.0000  6 Be 2.21-2.31
4 Mn 0.2777 0.2777 0.6701  4 Mn 2.29-2.32, 2 Be 2.33-2.36
5 Mo 0.7334 0.7334 0.7998  6 Be 2.62-2.71, 6 Mn 2.73, 4 Mo 2.80-2.89
6 Be 0.3854 0.3854 0.8437  3 Be 2.21, 3 Mn 2.36
7 Mo 0.0409 0.0409 0.8772  9 Be 2.69, 3 Mn 2.69, 4 Mo 2.77-2.80
8 Mn 0.7223 0.2256 0.3299  4 Mn 2.29-2.32, 2 Be 2.33-2.36
9 Mn 0.2256 0.7223 0.3299  4 Mn 2.29-2.32, 2 Be 2.33-2.36
10 Mn 0.7223 0.7223 0.3299  4 Mn 2.29-2.32, 2 Be 2.33-2.36
11 Mn 0.7744 0.2777 0.6701  4 Mn 2.29-2.32, 2 Be 2.33-2.36
12 Mo 0.9591 0.9591 0.1228  9 Be 2.69, 3 Mn 2.69, 4 Mo 2.77-2.80
13 Mo 0.8188 0.8188 0.5436  3 Be 2.71, 9 Mn 2.71-2.76, 4 Mo 2.84-2.89
14 Mo 0.2666 0.2666 0.2002  6 Be 2.62-2.71, 6 Mn 2.73, 4 Mo 2.80-2.89
15 Be 0.5000 0.5000 0.0000  6 Be 2.21-2.31
16 Be 0.0000 0.5000 0.0000  6 Be 2.21-2.31
17 Be 0.5000 0.5000 0.5000  6 Mn 2.33
18 Be 0.6146 0.6146 0.1563  3 Be 2.21, 3 Mn 2.36

Summary:
Total magnetization ... 2.8 Bohr magnetons per cell
ΔE to the lowest computed polymorph ... 0.009 eV per atom
DFT formation energy ... -0.1374 eV/atom



(4)
Material: Ce2Ga8Pt
Method: DFT, PBE
State: relaxed

Cell: 4.3846 4.3846 11.2754 Å, 90.00 90.00 90.00°
Last column: nearest neighbours and their distance in Å.
Element x y z (fractional)
1 Ce 0.0000 0.0000 0.3077  12 Ga 3.01-3.10
2 Ga 0.5000 0.5000 0.6944  8 Ga 2.99-3.10, 4 Ce 3.10
3 Ga 0.5000 0.0000 0.5000  4 Ce 3.08, 8 Ga 3.10
4 Ga 0.5000 0.0000 0.1250  2 Pt 2.61, 1 Ga 2.82
5 Ga 0.0000 0.5000 0.1250  2 Pt 2.61, 1 Ga 2.82
6 Ce 0.0000 0.0000 0.6923  12 Ga 3.01-3.10
7 Pt 0.0000 0.0000 0.0000  8 Ga 2.61
8 Ga 0.5000 0.5000 0.3056  8 Ga 2.99-3.10, 4 Ce 3.10
9 Ga 0.0000 0.5000 0.5000  4 Ce 3.08, 8 Ga 3.10
10 Ga 0.5000 0.0000 0.8750  2 Pt 2.61, 1 Ga 2.82
11 Ga 0.0000 0.5000 0.8750  2 Pt 2.61, 1 Ga 2.82

Summary:
Total magnetization ... 0.2 Bohr magnetons per cell
DFT formation energy ... -0.5773 eV/atom



(5)
Material: ZrPIO2
Method: DFT, PBE
State: relaxed

Cell: 3.9883 3.9883 5.1882 Å, 90.00 90.00 90.00°
Last column: nearest neighbours and their distance in Å.
Element x y z (fractional)
1 O 0.5000 0.0000 0.0000  2 P 1.99
2 I 0.0000 0.0000 0.5000  2 P 2.59, 4 Zr 2.82
3 O 0.0000 0.5000 0.0000  2 P 1.99
4 P 0.0000 0.0000 0.0000  4 O 1.99
5 Zr 0.5000 0.5000 0.5000  4 I 2.82

Summary:
Total magnetization ... 0.1 Bohr magnetons per cell
ΔE to the lowest computed polymorph ... 1.210 eV per atom



(6)
Material: NbAg8Se6
Method: DFT, PBE
State: relaxed

Cell: 7.8082 8.1525 11.0235 Å, 90.00 90.00 90.00°
Last column: nearest neighbours and their distance in Å.
Element x y z (fractional)
1 Ag 0.4720 0.8137 0.7274  3 Se 2.66-2.84
2 Se 0.5101 0.5000 0.8359  1 Nb 2.47, 1 Ag 2.60
3 Ag 0.8895 0.7893 0.1383  4 Se 2.67-2.96
4 Se 0.7533 0.7433 0.6018  1 Nb 2.48, 1 Ag 2.66
5 Se 0.0206 0.5000 0.8474  1 Nb 2.47, 2 Ag 2.68
6 Se 0.9794 0.0000 0.3474  1 Nb 2.47, 2 Ag 2.68
7 Ag 0.8362 0.2230 0.8504  3 Se 2.58-2.83
8 Ag 0.3872 0.0000 0.9567  4 Se 2.65-2.77
9 Ag 0.1105 0.7107 0.6383  4 Se 2.67-2.96
10 Ag 0.5280 0.6863 0.2274  3 Se 2.66-2.84
11 Ag 0.1638 0.7230 0.3504  3 Se 2.58-2.83
12 Ag 0.1105 0.2893 0.6383  4 Se 2.67-2.96
13 Ag 0.7080 0.5000 0.0252  2 Se 2.60-2.67
14 Se 0.7221 0.0000 0.9961  5 Ag 2.58-2.67
15 Nb 0.7275 0.0000 0.4834  4 Se 2.47-2.48
16 Ag 0.4720 0.1863 0.7274  3 Se 2.66-2.84
17 Se 0.2467 0.2433 0.1018  1 Nb 2.48, 1 Ag 2.66
18 Ag 0.6128 0.5000 0.4567  4 Se 2.65-2.77
19 Se 0.2467 0.7567 0.1018  1 Nb 2.48, 1 Ag 2.66
20 Se 0.7533 0.2567 0.6018  1 Nb 2.48, 1 Ag 2.66
21 Ag 0.8362 0.7770 0.8504  3 Se 2.58-2.83
22 Nb 0.2725 0.5000 0.9834  4 Se 2.47-2.48
23 Ag 0.1638 0.2770 0.3504  3 Se 2.58-2.83
24 Ag 0.8895 0.2107 0.1383  4 Se 2.67-2.96
25 Se 0.1851 0.0000 0.7556  6 Ag 2.67-2.75
26 Ag 0.2920 0.0000 0.5252  2 Se 2.60-2.67
27 Se 0.2779 0.5000 0.4961  5 Ag 2.58-2.67
28 Se 0.8149 0.5000 0.2556  6 Ag 2.67-2.75
29 Se 0.4899 0.0000 0.3359  1 Nb 2.47, 1 Ag 2.60
30 Ag 0.5280 0.3137 0.2274  3 Se 2.66-2.84

Summary:
Total magnetization ... 1.8 Bohr magnetons per cell



(7)
Material: MnCrCuAu
Method: DFT, PBE
State: relaxed

Cell: 2.7825 2.7825 8.2369 Å, 90.00 90.00 120.00°
Last column: nearest neighbours and their distance in Å.
Element x y z (fractional)
1 Cu 0.6667 0.3333 0.3982  3 Cr 2.63, 3 Au 2.78, 6 Cu 2.78
2 Mn 0.6667 0.3333 0.8338  3 Cr 2.20
3 Cr 0.3333 0.6667 0.6509  3 Mn 2.20
4 Au 0.0000 0.0000 0.1228  3 Cu 2.78, 6 Au 2.78, 3 Mn 2.87

Summary:
Total magnetization ... 0.0 Bohr magnetons per cell
ΔE to the lowest computed polymorph ... 0.229 eV per atom
DFT formation energy ... 0.2684 eV/atom



(8)
Material: BaLa2Sn2
Method: DFT, PBE
State: relaxed

Cell: 9.6760 9.6760 3.8994 Å, 90.00 90.00 90.00°
Last column: nearest neighbours and their distance in Å.
Element x y z (fractional)
1 La 0.8655 0.3655 0.5000  6 Sn 3.39-3.48, 1 La 3.68
2 La 0.3655 0.1345 0.5000  6 Sn 3.39-3.48, 1 La 3.68
3 La 0.1345 0.6345 0.5000  6 Sn 3.39-3.48, 1 La 3.68
4 Sn 0.8376 0.6624 0.0000  6 La 3.39-3.48, 2 Ba 3.62
5 La 0.6345 0.8655 0.5000  6 Sn 3.39-3.48, 1 La 3.68
6 Ba 0.0000 0.0000 0.0000  4 Sn 3.62, 2 Ba 3.90
7 Ba 0.5000 0.5000 0.0000  4 Sn 3.62, 2 Ba 3.90
8 Sn 0.1624 0.3376 0.0000  6 La 3.39-3.48, 2 Ba 3.62
9 Sn 0.6624 0.1624 0.0000  6 La 3.39-3.48, 2 Ba 3.62
10 Sn 0.3376 0.8376 0.0000  6 La 3.39-3.48, 2 Ba 3.62

Summary:
Total magnetization ... 0.2 Bohr magnetons per cell
ΔE to the lowest computed polymorph ... 0.000 eV per atom
DFT formation energy ... -0.6282 eV/atom



(9)
Material: Tb5PrPb5
Method: DFT, PBE
State: relaxed

Cell: 6.3319 8.4926 7.5215 Å, 101.99 90.00 111.89°
Last column: nearest neighbours and their distance in Å.
Element x y z (fractional)
1 Pb 0.5000 0.0000 0.0000  4 Tb 3.12-3.14, 2 Pr 3.17
2 Pb 0.8309 0.6619 0.6549  5 Tb 3.14-3.21, 1 Pr 3.28, 1 Pb 3.50
3 Tb 0.3448 0.6895 0.6591  5 Pb 3.12-3.21
4 Tb 0.6552 0.3105 0.3409  5 Pb 3.12-3.21
5 Pb 0.8298 0.6595 0.1886  5 Tb 3.14-3.21, 1 Pr 3.30, 1 Pb 3.50
6 Tb 0.3313 0.6626 0.1562  5 Pb 3.14-3.20
7 Pb 0.1691 0.3381 0.3451  5 Tb 3.14-3.21, 1 Pr 3.28, 1 Pb 3.50
8 Pr 0.0000 0.0000 0.0000  6 Pb 3.17-3.30
9 Pb 0.1702 0.3405 0.8114  5 Tb 3.14-3.21, 1 Pr 3.30, 1 Pb 3.50
10 Tb 0.6687 0.3374 0.8438  5 Pb 3.14-3.20
11 Tb 0.0000 0.0000 0.5000  4 Pb 3.14

Summary:
Total magnetization ... 0.8 Bohr magnetons per cell
DFT formation energy ... -0.2894 eV/atom



(10)
Material: Cs3DyU2Te6
Method: DFT, PBE
State: relaxed

Cell: 7.9019 7.9019 9.3496 Å, 98.10 98.10 120.00°
Last column: nearest neighbours and their distance in Å.
Element x y z (fractional)
1 U 0.3333 0.6667 0.0000  6 Te 3.15
2 Te 0.0639 0.3946 0.1916  1 Dy 3.13, 2 U 3.15
3 Dy 0.0000 0.0000 0.0000  6 Te 3.13
4 Te 0.3946 0.0639 0.1916  1 Dy 3.13, 2 U 3.15
5 Cs 0.8330 0.1670 0.5000  6 Te 3.81-3.83
6 Te 0.6054 0.9361 0.8084  1 Dy 3.13, 2 U 3.15
7 Te 0.9361 0.6054 0.8084  1 Dy 3.13, 2 U 3.15
8 U 0.6667 0.3333 0.0000  6 Te 3.15
9 Te 0.2670 0.2670 0.8084  1 Dy 3.13, 2 U 3.15
10 Cs 0.1670 0.8330 0.5000  6 Te 3.81-3.83
11 Te 0.7330 0.7330 0.1916  1 Dy 3.13, 2 U 3.15
12 Cs 0.5000 0.5000 0.5000  6 Te 3.81-3.83

Summary:
Total magnetization ... 6.0 Bohr magnetons per cell



(11)
Material: Ti4In3Tc
Method: DFT, PBE
State: relaxed

Cell: 3.1376 3.1376 14.8501 Å, 90.00 90.00 90.00°
Last column: nearest neighbours and their distance in Å.
Element x y z (fractional)
1 In 0.5000 0.5000 0.5000  8 Ti 2.99, 4 In 3.14
2 In 0.5000 0.5000 0.7675  8 Ti 2.96-3.00, 4 In 3.14
3 Ti 0.0000 0.0000 0.6354  8 In 2.96-2.99, 4 Ti 3.14
4 Tc 0.5000 0.5000 0.0000  8 Ti 2.64
5 In 0.5000 0.5000 0.2325  8 Ti 2.96-3.00, 4 In 3.14
6 Ti 0.0000 0.0000 0.9034  4 Tc 2.64, 1 Ti 2.87
7 Ti 0.0000 0.0000 0.3646  8 In 2.96-2.99, 4 Ti 3.14
8 Ti 0.0000 0.0000 0.0966  4 Tc 2.64, 1 Ti 2.87

Summary:
Total magnetization ... 0.0 Bohr magnetons per cell
DFT formation energy ... -0.2423 eV/atom



(12)
Material: Ce2HgS
Method: DFT, PBE
State: relaxed

Cell: 3.9380 3.9380 8.2989 Å, 76.28 76.28 60.00°
Last column: nearest neighbours and their distance in Å.
Element x y z (fractional)
1 Hg 0.4994 0.4994 0.5019  6 Ce 3.27-3.28
2 Ce 0.2651 0.2651 0.2048  3 S 2.81
3 Ce 0.0681 0.0681 0.7956  3 S 2.79
4 S 0.6674 0.6674 0.9978  6 Ce 2.79-2.81

Summary:
Total magnetization ... 1.6 Bohr magnetons per cell
ΔE to the lowest computed polymorph ... 0.008 eV per atom



Quick rundown of E_tot, same order as above: -0.6512 -0.1677 -0.5914 -0.3239 -0.3755 -0.2754 -0.4611 -0.3370 -0.3318 -0.3719 -0.4787 -0.3763 Ry per atom